A plane-wave DFT calculation with PBE was carried out for CaSmTlGe after structural relaxation.

Cell: 7.5280 7.5280 7.5280 Å, 90.00 90.00 90.00°
With the nearest neighbours (Å) after each atom.
Space group F-43m (No. 216)
One atom of each set of equivalent atoms:
Ca 0.0000 0.0000 0.0000 (multiplicity 4)  4 Ge 3.26, 4 Tl 3.26
Sm 0.0000 0.0000 0.5000 (multiplicity 4)  4 Ge 3.26, 4 Tl 3.26
Tl 0.2500 0.2500 0.7500 (multiplicity 4)  4 Ca 3.26, 4 Sm 3.26
Ge 0.2500 0.2500 0.2500 (multiplicity 4)  4 Ca 3.26, 4 Sm 3.26

## Properties
N(E_F)	0.4050	states/eV per atom
DFT formation energy	-0.437	eV per atom

***

A plane-wave DFT calculation with PBE was carried out for CaSm2Zn2Ge2 after structural relaxation.

Cell: 4.2142 4.2142 34.1735 Å, 90.00 90.00 120.00°
With the nearest neighbours (Å) after each atom.
Space group R-3m (No. 166, hexagonal axes)
One atom of each set of equivalent atoms:
Ca 0.0000 0.0000 0.0000 (multiplicity 3)  6 Ge 3.23, 6 Zn 3.33
Sm 0.0000 0.0000 0.1222 (multiplicity 6)  3 Zn 3.09, 3 Ge 3.19
Zn 0.0000 0.0000 0.4000 (multiplicity 6)  3 Ge 2.44
Ge 0.0000 0.0000 0.2714 (multiplicity 6)  3 Zn 2.44

## Properties
N(E_F)	0.7337	states/eV per atom
DFT formation energy	-0.414	eV per atom

***

A plane-wave DFT calculation with PBE was carried out for CaSmZnGe after structural relaxation.

Cell: 7.2628 7.2628 7.2628 Å, 90.00 90.00 90.00°
With the nearest neighbours (Å) after each atom.
Space group F-43m (No. 216)
One atom of each set of equivalent atoms:
Ca 0.0000 0.0000 0.0000 (multiplicity 4)  4 Zn 3.14, 4 Ge 3.14
Sm 0.0000 0.0000 0.5000 (multiplicity 4)  4 Ge 3.14, 4 Zn 3.14
Zn 0.2500 0.2500 0.7500 (multiplicity 4)  4 Sm 3.14, 4 Ca 3.14
Ge 0.2500 0.2500 0.2500 (multiplicity 4)  4 Ca 3.14, 4 Sm 3.14

## Properties
N(E_F)	0.8832	states/eV per atom
DFT formation energy	-0.467	eV per atom

***

A plane-wave DFT calculation with PBE was carried out for Ca2SmZn2Ge2 after structural relaxation.

Cell: 4.2275 4.2275 34.8866 Å, 90.00 90.00 120.00°
With the nearest neighbours (Å) after each atom.
Space group R-3m (No. 166, hexagonal axes)
One atom of each set of equivalent atoms:
Ca 0.0000 0.0000 0.1194 (multiplicity 6)  3 Ge 3.22, 3 Zn 3.24
Sm 0.0000 0.0000 0.0000 (multiplicity 3)  6 Zn 3.18, 6 Ge 3.20
Zn 0.0000 0.0000 0.3915 (multiplicity 6)  3 Ge 2.44
Ge 0.0000 0.0000 0.2742 (multiplicity 6)  3 Zn 2.44

## Properties
N(E_F)	0.6386	states/eV per atom
DFT formation energy	-0.493	eV per atom